HoTmTcHg | Alexandria | PBE | optimized geometry; magnetization = 0.00 μB per formula unit; D(E_F) = 0.6689 states/eV/atom; space group = No. 216; formation enthalpy at 0 K = -0.18 eV per atom
1.0
0.0000 3.5308 3.5308
3.5308 0.0000 3.5308
3.5308 3.5308 0.0000
Ho Tm Tc Hg
1 1 1 1
Cartesian
0.0000 0.0000 0.0000
3.5308 3.5308 3.5308
5.2962 5.2962 5.2962
1.7654 1.7654 1.7654